Density functional theory data (PBE) for Mo4SeBr after structural relaxation.

Geometry as POSCAR:
```
Mo4SeBr
1.0
0.000 3.780 3.780
3.780 0.000 3.780
3.780 3.780 0.000
Mo Se Br
4 1 1
Direct
0.125 0.125 0.125
0.125 0.125 0.625
0.125 0.625 0.125
0.625 0.125 0.125
0.750 0.750 0.750
0.500 0.500 0.500
```

Computed properties:
Spin magnetization: 0.00 μB/f.u.
Fermi-level density of states: 0.955 states/eV/atom
Uncorrected formation energy: 0.99 eV/atom
Calculated volume: 108.06 Å³ per cell
E_tot: -42.53 eV for the cell shown